CaAgCl3 after structural relaxation. Source: Alexandria via LeMat-Bulk, functional GGA-PBE.

For the formation energy (no corrections), the calculation gives -103.18 kJ per mole of atoms.

The space group is Pm-3m (No. 221) and the conventional cell measures 5.144, 5.144 and 5.144 Å, with angles of 90.00, 90.00 and 90.00 degrees. The asymmetric unit holds Ca at (0.000, 0.000, 0.000), Ag at (0.500, 0.500, 0.500) and Cl at (0.000, 0.500, 0.500).

Zr14ScNb after structural relaxation. Source: Alexandria via LeMat-Bulk, functional GGA-PBE.

The formation energy comes out at 0.049 eV per atom.

The space group is Amm2 (No. 38) and the conventional cell measures 9.652, 7.853 and 9.697 Å, with angles of 90.00, 90.00 and 90.00 degrees. The asymmetric unit holds Zr at (0.000, 0.000, 0.000), Zr at (0.000, 0.000, 0.451), Zr at (0.000, 0.214, 0.721), Zr at (0.235, 0.000, 0.212), Zr at (0.255, 0.219, 0.940), Zr at (0.266, 0.000, 0.669), Zr at (0.500, 0.218, 0.161), Sc at (0.500, 0.000, 0.432) and Nb at (0.500, 0.000, 0.882).

CePmDySc after structural relaxation. Source: Alexandria via LeMat-Bulk, functional GGA-PBE.

The formation energy comes out at 0.189 eV per atom.

The space group is F-43m (No. 216) and the conventional cell measures 7.877, 7.877 and 7.877 Å, with angles of 90.00, 90.00 and 90.00 degrees. The asymmetric unit holds Ce at (0.000, 0.000, 0.000), Pm at (0.250, 0.250, 0.250), Dy at (0.000, 0.000, 0.500) and Sc at (0.250, 0.250, 0.750).

Ti8C3N4 after structural relaxation. Source: Alexandria via LeMat-Bulk, functional GGA-PBE.

For the formation energy (no corrections), the calculation gives -127.32 kJ per mole of atoms.

The space group is C2/m (No. 12) and the conventional cell measures 8.558, 8.568 and 6.049 Å, with angles of 90.00, 134.91 and 90.00 degrees. The asymmetric unit holds Ti at (0.000, 0.243, 0.000), Ti at (0.000, 0.252, 0.500), Ti at (0.242, 0.000, 0.486), Ti at (0.243, 0.000, 0.001), C at (0.000, 0.500, 0.500), C at (0.250, 0.250, 0.500), N at (0.000, 0.000, 0.000), N at (0.000, 0.000, 0.500) and N at (0.250, 0.250, 0.000).